Density functional theory data (PBE) for crystalline CaAl2Sb at its relaxed geometry.

a b c (Å): 3.241 4.922 5.886
angles (deg): 90.00 90.03 90.00
Fractional coordinates of all 4 atoms:
Ca1 0.000 0.000 0.000
Al1 0.500 0.000 0.473
Al2 0.502 0.500 0.258
Sb1 0.499 0.500 0.756

Final energy: -3.594 eV per atom
Formation energy from raw total energies: -0.1918 eV/atom
Space group: Pm, No. 6
Total magnetic moment: 0.0 Bohr magnetons per cell
N(E_F): 0.315 states/eV per atom